(1)
A plane-wave DFT calculation with PBE was carried out for crystalline Dy6TmTl6 at its relaxed geometry.

Values from the calculation:
formation enthalpy at 0 K	-3.79	kcal/mol of atoms

The structure in CIF format:
```
data_Dy6TmTl6
_chemical_formula_sum 'Dy6 Tm1 Tl6'
_cell_length_a 6.4286
_cell_length_b 6.4286
_cell_length_c 10.5409
_cell_angle_alpha 90.00
_cell_angle_beta 90.00
_cell_angle_gamma 120.00
_space_group_name_H-M_alt 'P 6/m m m'
_space_group_IT_number 191
_space_group_name_Hall '-P 6 2'
loop_
_atom_site_label
_atom_site_type_symbol
_atom_site_fract_x
_atom_site_fract_y
_atom_site_fract_z
Dy1 Dy 0.0000 0.0000 0.1651
Dy2 Dy 0.3333 0.6667 0.0000
Dy3 Dy 0.3333 0.6667 0.5000
Tm1 Tm 0.0000 0.0000 0.5000
Tl1 Tl 0.0000 0.5000 0.2534
```

(2)
A plane-wave DFT calculation with PBE was carried out for crystalline LiCd2SnH at its relaxed geometry.

Values from the calculation:
VASP energy	-2.213	eV per atom

The structure in CIF format:
```
data_LiCd2SnH
_chemical_formula_sum 'Li1 Cd2 Sn1 H1'
_cell_length_a 4.699
_cell_length_b 4.699
_cell_length_c 4.141
_cell_angle_alpha 90.00
_cell_angle_beta 90.00
_cell_angle_gamma 90.00
_space_group_name_H-M_alt 'P 4/m m m'
_space_group_IT_number 123
_space_group_name_Hall '-P 4 2'
loop_
_atom_site_label
_atom_site_type_symbol
_atom_site_fract_x
_atom_site_fract_y
_atom_site_fract_z
Li1 Li 0.000 0.000 0.000
Cd1 Cd 0.000 0.500 0.500
Sn1 Sn 0.500 0.500 0.000
H1 H 0.000 0.000 0.500
```

(3)
A plane-wave DFT calculation with PBE was carried out for crystalline PmPr2Dy4Ho at its relaxed geometry.

Values from the calculation:
formation enthalpy at 0 K	0.45	kcal/mol of atoms

The structure in CIF format:
```
data_PmPr2Dy4Ho
_chemical_formula_sum 'Pm1 Pr2 Dy4 Ho1'
_cell_length_a 5.086
_cell_length_b 5.111
_cell_length_c 10.113
_cell_angle_alpha 90.00
_cell_angle_beta 90.00
_cell_angle_gamma 90.00
_space_group_name_H-M_alt 'P m m m'
_space_group_IT_number 47
_space_group_name_Hall '-P 2 2'
loop_
_atom_site_label
_atom_site_type_symbol
_atom_site_fract_x
_atom_site_fract_y
_atom_site_fract_z
Pm1 Pm 0.000 0.000 0.000
Pr1 Pr 0.000 0.000 0.500
Pr2 Pr 0.500 0.500 0.000
Dy1 Dy 0.000 0.500 0.252
Dy2 Dy 0.500 0.000 0.252
Ho1 Ho 0.500 0.500 0.500
```

(4)
A plane-wave DFT calculation with PBE was carried out for crystalline TcNiHg2 at its relaxed geometry.

Values from the calculation:
formation enthalpy at 0 K	12.63	kcal/mol of atoms
relative energy among the computed polymorphs	0.2197	eV/atom

The structure in CIF format:
```
data_TcNiHg2
_chemical_formula_sum 'Tc3 Ni3 Hg6'
_cell_length_a 2.9594
_cell_length_b 2.9594
_cell_length_c 26.8472
_cell_angle_alpha 90.00
_cell_angle_beta 90.00
_cell_angle_gamma 120.00
_space_group_name_H-M_alt 'R -3 m'
_space_group_IT_number 166
_space_group_name_Hall '-R 3 2"'
loop_
_atom_site_label
_atom_site_type_symbol
_atom_site_fract_x
_atom_site_fract_y
_atom_site_fract_z
Tc1 Tc 0.0000 0.0000 0.0000
Ni1 Ni 0.0000 0.0000 0.5000
Hg1 Hg 0.0000 0.0000 0.2455
```